The following is a DFT calculation (PBE) of crystalline LiTc2Pb at its relaxed geometry.

Summary:
Final energy   -101.04 eV/cell

a b c (Å): 6.3414 6.3414 6.3414
angles (deg): 90.00 90.00 90.00
Space group F-43m (No. 216)
One atom of each set of equivalent atoms:
Li1 0.0000 0.0000 0.0000
Tc1 0.0000 0.0000 0.5000
Tc2 0.2500 0.2500 0.2500
Pb1 0.2500 0.2500 0.7500